Record 1
A geometry-optimized ReP2OF structure, computed with PBEsol.

- Energy: -5.48 eV per atom
- Formation energy without anion corrections: 0.94 eV/atom

Cell: 3.8244 3.8244 4.0942 Å, 90.00 90.00 90.00°
Positions (direct):
P 0.5000 0.0000 0.0000
P 0.0000 0.5000 0.0000
O 0.0000 0.0000 0.5000
Re 0.5000 0.5000 0.5000
F 0.0000 0.0000 0.0000


Record 2
A geometry-optimized Fe3PtN structure, computed with PBEsol.

- Energy: -8.71 eV per atom
- Formation energy without anion corrections: -0.24 eV/atom

Cell: 3.7969 3.7969 3.7969 Å, 90.00 90.00 90.00°
Positions (direct):
Pt 0.0000 0.0000 0.0000
Fe 0.5000 0.5000 0.0000
Fe 0.5000 0.0000 0.5000
Fe 0.0000 0.5000 0.5000
N 0.5000 0.5000 0.5000


Record 3
A geometry-optimized Fe2SiPb structure, computed with PBEsol.

- Distance to the lowest polymorph of the same formula: 451.7 meV/atom
- Energy: -6.23 eV per atom
- Formation energy without anion corrections: 0.69 eV/atom

Cell: 4.4190 4.4190 4.4190 Å, 60.00 60.00 60.00°
Positions (direct):
Fe 0.7500 0.7500 0.7500
Fe 0.0000 0.0000 0.0000
Si 0.2500 0.2500 0.2500
Pb 0.5000 0.5000 0.5000


Record 4
A geometry-optimized LiSn structure, computed with PBEsol.

- Energy: -3.47 eV per atom
- Energy of formation from the pure elements: -0.71 eV per formula unit

Cell: 4.3775 4.3775 13.2042 Å, 99.54 99.54 90.00°
Positions (direct):
Sn 0.0805 0.5805 0.1610
Sn 0.2500 0.7500 0.5000
Sn 0.0000 0.0000 0.0000
Sn 0.8305 0.8305 0.6610
Sn 0.4195 0.9195 0.8390
Sn 0.1695 0.1695 0.3390
Li 0.5000 0.5000 0.0000
Li 0.6634 0.6634 0.3269
Li 0.9134 0.4134 0.8269
Li 0.3366 0.3366 0.6731
Li 0.7500 0.2500 0.5000
Li 0.5866 0.0866 0.1731


- The lowest energy belongs to which entry?
  Fe3PtN


- Among the records above, which one has the highest energy?
  LiSn


- Among the records above, which one has the highest energy?
  LiSn